Entry from the Open Quantum Materials Database: GaSi2Ir after structural relaxation (PBE-GGA).

Unit cell a=6.1714 b=6.1714 c=6.1714 alpha=90.00 beta=90.00 gamma=90.00
Closest atoms and distances in Å follow each position.
Fractional coordinates of all 16 atoms:
Ga: 0.0000 0.0000 0.0000  4 Ir 2.67, 4 Si 2.67
Ga: 0.0000 0.5000 0.5000  4 Ir 2.67, 4 Si 2.67
Ga: 0.5000 0.0000 0.5000  4 Ir 2.67, 4 Si 2.67
Ga: 0.5000 0.5000 0.0000  4 Ir 2.67, 4 Si 2.67
Si: 0.0000 0.0000 0.5000  4 Ir 2.67, 4 Si 2.67
Si: 0.0000 0.5000 0.0000  4 Si 2.67, 4 Ir 2.67
Si: 0.2500 0.2500 0.7500  4 Si 2.67, 4 Ga 2.67
Si: 0.2500 0.7500 0.2500  4 Si 2.67, 4 Ga 2.67
Si: 0.5000 0.0000 0.0000  4 Si 2.67, 4 Ir 2.67
Si: 0.5000 0.5000 0.5000  4 Ir 2.67, 4 Si 2.67
Si: 0.7500 0.2500 0.2500  4 Si 2.67, 4 Ga 2.67
Si: 0.7500 0.7500 0.7500  4 Ga 2.67, 4 Si 2.67
Ir: 0.2500 0.2500 0.2500  4 Si 2.67, 4 Ga 2.67
Ir: 0.2500 0.7500 0.7500  4 Si 2.67, 4 Ga 2.67
Ir: 0.7500 0.2500 0.7500  4 Si 2.67, 4 Ga 2.67
Ir: 0.7500 0.7500 0.2500  4 Si 2.67, 4 Ga 2.67

Results
uncorrected energy: -5.55 eV per atom
crystal system: cubic